(1)
A plane-wave DFT calculation with PBE was carried out for a relaxed MgBe2P crystal.

Energy of formation = 0.105 eV per atom
DOS(E_F) = 1.30 states/eV/f.u.
E above lowest polymorph = 0.116 eV/atom

Lattice parameters (Å, degrees): 3.1808 3.3227 10.6266 90.00 90.00 90.00
Last column: nearest neighbours and their distance in Å.
Space group Imm2 (No. 44)
Unique sites:
Mg  0.0000  0.0000  0.0000 x2  6 Be 2.75-2.94, 2 P 2.82
Be  0.0000  0.0000  0.3584 x2  2 Be 2.16, 2 P 2.17
Be  0.0000  0.5000  0.2278 x2  2 Be 2.16, 4 P 2.30
P  0.0000  0.5000  0.7191 x2  6 Be 2.17-2.30

---

(2)
A plane-wave DFT calculation with PBE was carried out for a relaxed LaTbPm3Dy crystal.

Energy of formation = 0.023 eV per atom
DOS(E_F) = 9.55 states/eV/f.u.

Lattice parameters (Å, degrees): 8.1149 5.1591 10.2885 90.00 108.55 90.00
Last column: nearest neighbours and their distance in Å.
Space group P2_1/m (No. 11)
Unique sites:
La  0.1687  0.2500  0.2920 x2  3 Dy 3.63, 1 Tb 3.64, 8 Pm 3.65-3.67
Tb  0.4979  0.7500  0.8754 x2  7 Pm 3.59-3.63, 2 Tb 3.63, 1 La 3.64, 2 Dy 3.64
Pm  0.1697  0.2500  0.7923 x2  1 Dy 3.61, 3 Tb 3.61-3.62, 6 Pm 3.64-3.68, 2 La 3.67
Pm  0.1702  0.7500  0.0415 x2  3 Tb 3.59-3.63, 1 Dy 3.61, 5 Pm 3.64-3.68, 3 La 3.65
Pm  0.1703  0.7500  0.5435 x2  1 Tb 3.60, 3 Dy 3.62-3.63, 5 Pm 3.64-3.68, 3 La 3.65-3.66
Dy  0.4998  0.2500  0.6261 x2  5 Pm 3.61-3.63, 3 La 3.63, 2 Tb 3.64, 2 Dy 3.66

---

(3)
A plane-wave DFT calculation with PBE was carried out for a relaxed Tc2MoOs crystal.

Energy of formation = 0.102 eV per atom
DOS(E_F) = 3.73 states/eV/f.u.
E above lowest polymorph = 0.037 eV/atom

Lattice parameters (Å, degrees): 2.7700 3.8805 5.5428 90.00 90.00 90.00
Last column: nearest neighbours and their distance in Å.
Space group Pmmm (No. 47)
Unique sites:
Tc  0.0000  0.0000  0.2416 x2  4 Tc 2.68-2.87, 4 Os 2.73, 4 Mo 2.78
Mo  0.5000  0.5000  0.5000 x1  2 Mo 2.77, 2 Os 2.77, 8 Tc 2.78
Os  0.5000  0.5000  0.0000 x1  8 Tc 2.73, 2 Os 2.77, 2 Mo 2.77

---

(4)
A plane-wave DFT calculation with PBE was carried out for a relaxed AlFeRh2 crystal.

Energy of formation = -0.197 eV per atom
DOS(E_F) = 5.23 states/eV/f.u.

Lattice parameters (Å, degrees): 2.7391 2.7391 25.1390 90.00 90.00 120.00
Last column: nearest neighbours and their distance in Å.
Space group R3m (No. 160, hexagonal axes)
Unique sites:
Al  0.0000  0.0000  0.0000 x3  3 Rh 2.56, 3 Fe 2.58, 6 Al 2.74
Fe  0.0000  0.0000  0.7477 x3  3 Rh 2.57, 3 Al 2.58, 6 Fe 2.74
Rh  0.0000  0.0000  0.2531 x3  3 Al 2.56, 9 Rh 2.74-2.79
Rh  0.0000  0.0000  0.4951 x3  3 Fe 2.57, 9 Rh 2.74-2.79

---

(5)
A plane-wave DFT calculation with PBE was carried out for a relaxed Pr2NpO6 crystal.

E_form (uncorrected) = -3156 meV/atom
E above lowest polymorph = 0.000 eV/atom

Lattice parameters (Å, degrees): 5.8565 5.9373 9.5434 90.00 90.00 90.00
Last column: nearest neighbours and their distance in Å.
Space group Pnnm (No. 58)
Unique sites:
Pr  0.0000  0.0000  0.2084 x4  6 O 2.35-2.51
Np  0.0000  0.5000  0.0000 x2  6 O 2.01-2.11
O  0.1638  0.2024  0.0000 x4  1 Np 2.01
O  0.1988  0.6503  0.1593 x8  1 Np 2.11, 1 Pr 2.35

---

(6)
A plane-wave DFT calculation with PBE was carried out for a relaxed ZnHN2O crystal.

DOS(E_F) = 1.98 states/eV/f.u.

Lattice parameters (Å, degrees): 2.7919 2.7919 6.5968 90.00 90.00 90.00
Last column: nearest neighbours and their distance in Å.
Space group P4/mmm (No. 123)
Unique sites:
Zn  0.0000  0.0000  0.0000 x1  4 O 1.97
H  0.5000  0.5000  0.5000 x1  4 N 1.40
N  0.0000  0.5000  0.5000 x2  2 H 1.40
O  0.5000  0.5000  0.0000 x1  4 Zn 1.97

---

Number 1: calculated total energy -28.08 eV per cell. Number 2: calculated total energy -56.55 eV per cell. Number 3: calculated total energy -42.39 eV per cell. Number 4: calculated total energy -83.08 eV per cell. Number 5: calculated total energy -161.30 eV per cell. Number 6: calculated total energy -20.44 eV per cell.